# 1
An optimized crystal structure of Tb6SmDyHo2. Source: the Alexandria database, functional PBE.

Computed properties:
SG: C2/c, No. 15
E: -4.51 eV per atom
D(E_F): 28.59 states/eV/cell
DFT formation energy: 0.12 eV per atom
calculated volume: 646.94 Å³ per cell

Unit cell a=9.5520 b=8.7849 c=8.7849 alpha=117.76 beta=93.80 gamma=93.80
Atoms (fractional coordinates):
Dy1 0.7500 0.5909 0.4091
Ho1 0.5454 0.1985 0.3023
Tb1 0.4440 0.2483 0.8785
Ho2 0.0454 0.3023 0.1985
Tb2 0.8163 0.4333 0.9825
Tb3 0.6837 0.0175 0.5667
Tb4 0.3805 0.5079 0.2919
Tb5 0.5560 0.7517 0.1215
Tb6 0.9440 0.8785 0.2483
Sm1 0.7500 0.0252 0.9748
Tb7 0.1195 0.7081 0.4921
Tb8 0.1837 0.5667 0.0175
Dy2 0.2500 0.4091 0.5909
Ho3 0.9546 0.6977 0.8015
Tb9 0.3163 0.9825 0.4333
Ho4 0.4546 0.8015 0.6977
Tb10 0.0560 0.1215 0.7517
Tb11 0.6195 0.4921 0.7081
Tb12 0.8805 0.2919 0.5079
Sm2 0.2500 0.9748 0.0252


# 2
An optimized crystal structure of Tb2SmDy4Ho2. Source: the Alexandria database, functional PBE.

Computed properties:
SG: C2/m, No. 12
E: -4.62 eV per atom
D(E_F): 11.73 states/eV/cell
DFT formation energy: 0.00 eV per atom
calculated volume: 285.71 Å³ per cell

Unit cell a=3.5818 b=9.4705 c=9.5207 alpha=115.22 beta=90.00 gamma=100.90
Atoms (fractional coordinates):
Dy1 0.5187 0.0375 0.3344
Sm1 0.0000 0.0000 0.0000
Tb1 0.8519 0.7038 0.3333
Dy2 0.4813 0.9625 0.6656
Ho1 0.6675 0.3349 0.0009
Dy3 0.8145 0.6290 0.6656
Ho2 0.3325 0.6651 0.9991
Dy4 0.1855 0.3710 0.3344
Tb2 0.1481 0.2962 0.6667